The following is a DFT calculation (PBE-GGA) of an optimized crystal structure of HoSiMo.

```
HoSiMo
1.0
5.6646 0.0000 0.0000
0.0000 6.0679 0.0000
-2.3868 0.0000 6.9417
Ho Si Mo
4 4 4
Cartesian
-0.5083 1.5171 2.7387
-1.7017 1.5169 6.2095
4.9795 4.5510 0.7322
3.7861 4.5508 4.2030
2.2379 6.0667 1.7362
1.0399 0.0012 5.2055
2.2333 3.0328 1.7347
1.0445 3.0351 5.2070
0.9846 4.5509 3.2451
-0.2088 4.5509 6.7159
3.4866 1.5170 0.2258
2.2932 1.5170 3.6966
```

Values from the calculation:
The calculation puts the total energy at -7.18 eV/atom. The formation energy without anion corrections is -232 meV per atom. The spin magnetization comes out at 0.0 μB/f.u.